Computed, not measured: a relaxed structure of LaTa2Se at the PBE-GGA level of DFT.

a b c (Å): 4.820 4.820 6.266
angles (deg): 99.57 99.57 40.66
Fractional positions:
La  0.000  0.000  0.000
Ta  0.219  0.219  0.645
Ta  0.476  0.476  0.489
Se  0.749  0.749  0.309

Computed properties:
* crystal system: monoclinic

***

Computed, not measured: a relaxed structure of Nd2CdIn2Pd5 at the PBE-GGA level of DFT.

a b c (Å): 10.786 10.786 3.608
angles (deg): 90.00 90.00 90.00
Fractional positions:
Nd  0.170  0.330  0.000
Nd  0.330  0.830  0.000
Nd  0.670  0.170  0.000
Nd  0.830  0.670  0.000
Cd  0.000  0.000  0.000
Cd  0.500  0.500  0.000
In  0.131  0.631  0.000
In  0.369  0.131  0.000
In  0.631  0.869  0.000
In  0.869  0.369  0.000
Pd  0.000  0.500  0.500
Pd  0.038  0.800  0.500
Pd  0.200  0.038  0.500
Pd  0.300  0.538  0.500
Pd  0.462  0.300  0.500
Pd  0.500  0.000  0.500
Pd  0.538  0.700  0.500
Pd  0.700  0.462  0.500
Pd  0.800  0.962  0.500
Pd  0.962  0.200  0.500

Computed properties:
* formation energy from the elements: -0.5079 eV per atom
* crystal system: tetragonal

***

Computed, not measured: a relaxed structure of Sm19Y4Th6 at the PBE-GGA level of DFT.

a b c (Å): 10.914 10.914 10.914
angles (deg): 109.47 109.47 109.47
Fractional positions:
Sm  0.000  0.000  0.000
Sm  0.000  0.267  0.267
Sm  0.000  0.733  0.733
Sm  0.022  0.807  0.345
Sm  0.193  0.215  0.538
Sm  0.215  0.538  0.193
Sm  0.267  0.000  0.267
Sm  0.267  0.267  0.000
Sm  0.324  0.785  0.978
Sm  0.345  0.022  0.807
Sm  0.462  0.676  0.655
Sm  0.538  0.193  0.215
Sm  0.655  0.462  0.676
Sm  0.676  0.655  0.462
Sm  0.733  0.000  0.733
Sm  0.733  0.733  0.000
Sm  0.785  0.978  0.324
Sm  0.807  0.345  0.022
Sm  0.978  0.324  0.785
Y  0.000  0.000  0.644
Y  0.000  0.644  0.000
Y  0.356  0.356  0.356
Y  0.644  0.000  0.000
Th  0.130  0.630  0.500
Th  0.370  0.500  0.870
Th  0.500  0.130  0.630
Th  0.500  0.870  0.370
Th  0.630  0.500  0.130
Th  0.870  0.370  0.500

Computed properties:
* formation energy from the elements: 0.4083 eV per atom
* crystal system: cubic

***

Computed, not measured: a relaxed structure of La2PrNdEr5 at the PBE-GGA level of DFT.

a b c (Å): 9.998 9.998 9.998
angles (deg): 128.36 128.36 76.04
Fractional positions:
La  0.117  0.617  0.735
La  0.383  0.117  0.500
La  0.617  0.883  0.500
La  0.883  0.383  0.265
Pr  0.250  0.250  0.000
Pr  0.750  0.750  0.000
Nd  0.250  0.750  0.500
Nd  0.750  0.250  0.500
Er  0.000  0.000  0.000
Er  0.074  0.147  0.500
Er  0.147  0.647  0.074
Er  0.353  0.426  0.500
Er  0.426  0.926  0.074
Er  0.500  0.500  0.000
Er  0.574  0.074  0.926
Er  0.647  0.574  0.500
Er  0.853  0.353  0.926
Er  0.926  0.853  0.500

Computed properties:
* formation energy from the elements: 0.2416 eV per atom
* crystal system: tetragonal

***

Number 1: VASP energy -8.037 eV/atom, density 10.3 g/cm³. Number 2: VASP energy -4.697 eV/atom, density 9.2 g/cm³. Number 3: VASP energy -5.110 eV/atom, density 7.6 g/cm³. Number 4: VASP energy -4.449 eV/atom, density 7.8 g/cm³.